<A>
# Sr2Ga2Pb PBE relaxed
data_Sr2Ga2Pb
_chemical_formula_sum 'Sr4 Ga4 Pb2'
_cell_length_a 5.1554
_cell_length_b 5.1554
_cell_length_c 12.4146
_cell_angle_alpha 90.00
_cell_angle_beta 90.00
_cell_angle_gamma 90.00
_symmetry_space_group_name_H-M 'I 4/m m m'
_symmetry_Int_Tables_number 139
_symmetry_space_group_name_Hall '-I 4 2'
loop_
_atom_site_label
_atom_site_type_symbol
_atom_site_fract_x
_atom_site_fract_y
_atom_site_fract_z
Sr1 Sr 0.0000 0.5000 0.2500
Ga1 Ga 0.0000 0.0000 0.0945
Pb1 Pb 0.0000 0.0000 0.5000
# Size of the total moment, μB/atom: 0.00
# V, Å³ per cell: 329.95

---

<B>
# Sr2Ga2Pb PBE relaxed
data_Sr2Ga2Pb
_chemical_formula_sum 'Sr4 Ga4 Pb2'
_cell_length_a 4.2647
_cell_length_b 15.2345
_cell_length_c 4.6618
_cell_angle_alpha 90.00
_cell_angle_beta 90.00
_cell_angle_gamma 90.00
_symmetry_space_group_name_H-M 'C m m m'
_symmetry_Int_Tables_number 65
_symmetry_space_group_name_Hall '-C 2 2'
loop_
_atom_site_label
_atom_site_type_symbol
_atom_site_fract_x
_atom_site_fract_y
_atom_site_fract_z
Sr1 Sr 0.0000 0.1281 0.0000
Ga1 Ga 0.0000 0.2926 0.5000
Pb1 Pb 0.0000 0.5000 0.5000
# Size of the total moment, μB/atom: 0.00
# V, Å³ per cell: 302.88

---

In terms of stability, <B> leads; the second structure lies 32.0 kJ/mol of atoms higher.